Crystalline Li5Cd2Pd2Au at its relaxed geometry, computed with GGA-PBE.

Geometry as POSCAR:
```
Li5Cd2Pd2Au
1.0
-1.624 -2.036 2.753
7.879 -5.082 0.889
3.214 6.105 6.411
Li Pd Cd Au
10 4 4 2
Direct
0.500 0.433 0.302
0.500 0.000 0.500
0.500 0.302 0.567
0.500 0.067 0.802
0.500 0.933 0.198
0.500 0.567 0.698
0.500 0.198 0.067
0.500 0.802 0.933
0.500 0.698 0.433
0.500 0.500 0.000
0.000 0.884 0.384
0.000 0.384 0.116
0.000 0.116 0.616
0.000 0.616 0.884
0.000 0.177 0.323
0.000 0.677 0.177
0.000 0.823 0.677
0.000 0.323 0.823
0.000 0.500 0.500
0.000 0.000 0.000
```

## Properties
- Energy: -2.86 eV/atom
- Total magnetic moment: 0.00 Bohr magnetons per cell
- DFT formation energy: -358 meV/atom